Entry 1:
# GGA-PBE PmTm2ThSc, optimized geometry
# Raw total energy in eV per cell: -54.38
# Calculated volume in Å³/cell: 303
data_PmTm2ThSc
_space_group_name_H-M_alt 'P 1 21/m 1'
_space_group_IT_number 11
_cell_length_a 7.775
_cell_length_b 4.978
_cell_length_c 7.817
_cell_angle_alpha 90.00
_cell_angle_beta 90.65
_cell_angle_gamma 90.00
loop_
_space_group_symop_operation_xyz
'x,y,z'
'-x,-y,-z'
'-x,y+1/2,-z'
'x,-y+1/2,z'
loop_
_atom_site_label
_atom_site_type_symbol
_atom_site_fract_x
_atom_site_fract_y
_atom_site_fract_z
_atom_site_occupancy
Pm1 Pm 0.249 0.250 0.246 1
Tm1 Tm 0.159 0.750 0.947 1
Tm2 Tm 0.348 0.750 0.550 1
Th1 Th 0.054 0.250 0.650 1
Sc1 Sc 0.450 0.250 0.849 1

Entry 2:
# GGA-PBE Pm2Tm4ThSc, optimized geometry
# Raw total energy in eV per cell: -40.12
# Calculated volume in Å³/cell: 247
data_Pm2Tm4ThSc
_space_group_name_H-M_alt 'P m m m'
_space_group_IT_number 47
_cell_length_a 5.741
_cell_length_b 5.751
_cell_length_c 7.481
_cell_angle_alpha 90.00
_cell_angle_beta 90.00
_cell_angle_gamma 90.00
loop_
_space_group_symop_operation_xyz
'x,y,z'
'-x,-y,-z'
'-x,-y,z'
'x,y,-z'
'x,-y,-z'
'-x,y,z'
'-x,y,-z'
'x,-y,z'
loop_
_atom_site_label
_atom_site_type_symbol
_atom_site_fract_x
_atom_site_fract_y
_atom_site_fract_z
_atom_site_occupancy
Pm1 Pm 0.000 0.000 0.000 1
Pm2 Pm 0.500 0.500 0.500 1
Tm1 Tm 0.000 0.500 0.244 1
Tm2 Tm 0.500 0.000 0.243 1
Th1 Th 0.000 0.000 0.500 1
Sc1 Sc 0.500 0.500 0.000 1

Entry 3:
# GGA-PBE PmTmThSc, optimized geometry
# Raw total energy in eV per cell: -90.33
# Energy above the lowest structure with this stoichiometry in eV per formula unit: 0.32
# Calculated volume in Å³/cell: 485
data_PmTmThSc
_space_group_name_H-M_alt 'F -4 3 m'
_space_group_IT_number 216
_space_group_name_Hall 'F -4 2 3'
_cell_length_a 7.859
_cell_length_b 7.859
_cell_length_c 7.859
_cell_angle_alpha 90.00
_cell_angle_beta 90.00
_cell_angle_gamma 90.00
loop_
_atom_site_label
_atom_site_type_symbol
_atom_site_fract_x
_atom_site_fract_y
_atom_site_fract_z
_atom_site_occupancy
Pm1 Pm 0.000 0.000 0.000 1
Tm1 Tm 0.250 0.250 0.750 1
Th1 Th 0.000 0.000 0.500 1
Sc1 Sc 0.250 0.250 0.250 1

Entry 4:
# GGA-PBE PmY2ThSc4, optimized geometry
# Raw total energy in eV per cell: -50.07
# Calculated volume in Å³/cell: 228
data_PmY2ThSc4
_space_group_name_H-M_alt 'P 4/m m m'
_space_group_IT_number 123
_space_group_name_Hall '-P 4 2'
_cell_length_a 5.012
_cell_length_b 5.012
_cell_length_c 9.064
_cell_angle_alpha 90.00
_cell_angle_beta 90.00
_cell_angle_gamma 90.00
loop_
_atom_site_label
_atom_site_type_symbol
_atom_site_fract_x
_atom_site_fract_y
_atom_site_fract_z
_atom_site_occupancy
Pm1 Pm 0.000 0.000 0.000 1
Y1 Y 0.000 0.000 0.500 1
Y2 Y 0.500 0.500 0.000 1
Th1 Th 0.500 0.500 0.500 1
Sc1 Sc 0.000 0.500 0.254 1

Entry 5:
# GGA-PBE PmY2ThSc, optimized geometry
# Raw total energy in eV per cell: -62.32
# Calculated volume in Å³/cell: 315
data_PmY2ThSc
_space_group_name_H-M_alt 'P 1 21/m 1'
_space_group_IT_number 11
_cell_length_a 6.198
_cell_length_b 5.695
_cell_length_c 9.416
_cell_angle_alpha 90.00
_cell_angle_beta 108.85
_cell_angle_gamma 90.00
loop_
_space_group_symop_operation_xyz
'x,y,z'
'-x,-y,-z'
'-x,y+1/2,-z'
'x,-y+1/2,z'
loop_
_atom_site_label
_atom_site_type_symbol
_atom_site_fract_x
_atom_site_fract_y
_atom_site_fract_z
_atom_site_occupancy
Pm1 Pm 0.232 0.250 0.307 1
Y1 Y 0.038 0.250 0.896 1
Y2 Y 0.423 0.250 0.694 1
Th1 Th 0.377 0.750 0.903 1
Sc1 Sc 0.162 0.750 0.509 1

Entry 6:
# GGA-PBE Pm2YThSc4, optimized geometry
# Raw total energy in eV per cell: -48.33
# Calculated volume in Å³/cell: 229
data_Pm2YThSc4
_space_group_name_H-M_alt 'P m m m'
_space_group_IT_number 47
_cell_length_a 5.023
_cell_length_b 5.033
_cell_length_c 9.057
_cell_angle_alpha 90.00
_cell_angle_beta 90.00
_cell_angle_gamma 90.00
loop_
_space_group_symop_operation_xyz
'x,y,z'
'-x,-y,-z'
'-x,-y,z'
'x,y,-z'
'x,-y,-z'
'-x,y,z'
'-x,y,-z'
'x,-y,z'
loop_
_atom_site_label
_atom_site_type_symbol
_atom_site_fract_x
_atom_site_fract_y
_atom_site_fract_z
_atom_site_occupancy
Pm1 Pm 0.000 0.000 0.000 1
Pm2 Pm 0.500 0.500 0.500 1
Y1 Y 0.000 0.000 0.500 1
Th1 Th 0.500 0.500 0.000 1
Sc1 Sc 0.000 0.500 0.246 1
Sc2 Sc 0.500 0.000 0.246 1

Record order is preserved below.
ΔE_f: 51; 128; 98; 45; 54; 48 meV/atom